First-principles (PBE-GGA) data for a relaxed Pr4Sm3Tm crystal, as listed in Alexandria.

Computed properties:
Symmetry: Pmn2_1
DFT formation energy: 0.1 kcal/mol of atoms
Uncorrected energy: -4.714 eV/atom
Size of the total moment: 0.00 μB per cell
Energy relative to the lowest polymorph listed for this composition: 0 meV per atom

a b c (Å): 7.3337 6.3504 11.8344
angles (deg): 90.00 90.00 90.00
Closest atoms and distances in Å follow each position.
Positions (direct):
Pr1 0.1887 0.8327 0.0000  6 Pr 3.61-3.67, 4 Sm 3.64-3.68, 2 Tm 3.66-3.68
Pr2 0.4396 0.3319 0.0000  6 Sm 3.63-3.68, 2 Tm 3.66-3.68, 4 Pr 3.67
Pr3 0.9399 0.0029 0.2470  1 Tm 3.60, 5 Pr 3.61-3.67, 6 Sm 3.61-3.68
Pr4 0.4399 0.9971 0.2530  1 Tm 3.60, 5 Pr 3.61-3.67, 6 Sm 3.61-3.68
Pr5 0.9396 0.6681 0.5000  6 Sm 3.63-3.68, 2 Tm 3.66-3.68, 4 Pr 3.67
Pr6 0.6887 0.1673 0.5000  6 Pr 3.61-3.67, 4 Sm 3.64-3.68, 2 Tm 3.66-3.68
Pr7 0.4399 0.9971 0.7470  1 Tm 3.60, 5 Pr 3.61-3.67, 6 Sm 3.61-3.68
Pr8 0.9399 0.0029 0.7530  1 Tm 3.60, 5 Pr 3.61-3.67, 6 Sm 3.61-3.68
Sm1 0.6906 0.8329 0.0000  8 Pr 3.61-3.68, 2 Sm 3.63, 2 Tm 3.65-3.67
Sm2 0.1892 0.4996 0.2507  2 Tm 3.63-3.64, 3 Sm 3.63-3.67, 7 Pr 3.63-3.68
Sm3 0.6892 0.5004 0.2493  2 Tm 3.63-3.64, 3 Sm 3.63-3.67, 7 Pr 3.63-3.68
Sm4 0.1906 0.1671 0.5000  8 Pr 3.61-3.68, 2 Sm 3.63, 2 Tm 3.65-3.67
Sm5 0.6892 0.5004 0.7507  2 Tm 3.63-3.64, 3 Sm 3.63-3.67, 7 Pr 3.63-3.68
Sm6 0.1892 0.4996 0.7493  2 Tm 3.63-3.64, 3 Sm 3.63-3.67, 7 Pr 3.63-3.68
Tm1 0.9382 0.3346 0.0000  6 Pr 3.60-3.68, 6 Sm 3.63-3.67
Tm2 0.4382 0.6654 0.5000  6 Pr 3.60-3.68, 6 Sm 3.63-3.67